# 1
First-principles (GGA-PBE) data for crystalline ScAsSCl2 at its relaxed geometry, as listed in Alexandria.

Summary:
Spin magnetization = 2.0 μB per cell
Formation energy from raw total energies = -0.724 eV per atom
Offset from the most stable computed form = 0.0000 eV per atom
D(E_F) = 0.837 states/eV/f.u.

CIF file:
```
data_ScAsSCl2
_cell_length_a 4.887
_cell_length_b 4.887
_cell_length_c 5.223
_cell_angle_alpha 90.00
_cell_angle_beta 90.00
_cell_angle_gamma 90.00
_symmetry_space_group_name_H-M 'P 4/m m m'
_symmetry_Int_Tables_number 123
_symmetry_space_group_name_Hall '-P 4 2'
loop_
_atom_site_label
_atom_site_fract_x
_atom_site_fract_y
_atom_site_fract_z
Sc1 0.000 0.000 0.000
As1 0.500 0.500 0.500
S1 0.000 0.000 0.500
Cl1 0.000 0.500 0.000
```

=====

# 2
First-principles (GGA-PBE) data for crystalline SmDy2S3 at its relaxed geometry, as listed in Alexandria.

Summary:
Spin magnetization = 0.0 μB per cell
Formation energy from raw total energies = -2.000 eV per atom
D(E_F) = 2.426 states/eV/f.u.

CIF file:
```
data_SmDy2S3
_cell_length_a 3.945
_cell_length_b 5.568
_cell_length_c 11.811
_cell_angle_alpha 90.00
_cell_angle_beta 90.00
_cell_angle_gamma 90.00
_symmetry_space_group_name_H-M 'I m m m'
_symmetry_Int_Tables_number 71
_symmetry_space_group_name_Hall '-I 2 2'
loop_
_atom_site_label
_atom_site_fract_x
_atom_site_fract_y
_atom_site_fract_z
Sm1 0.000 0.000 0.000
Dy1 0.000 0.000 0.337
S1 0.000 0.500 0.000
S2 0.000 0.500 0.327
```